Entry 1:
An optimized crystal structure of SrYAg. Source: Alexandria via LeMat-Bulk, functional GGA-PBE.

Results
Formation energy: 0.09 eV per atom
Crystal system: cubic
Total DFT energy (no corrections): -10.7 eV for the cell shown
Density of states at the Fermi level: 1.804 states/eV per atom

abc: 5.264 5.264 5.264
angles: 60.00 60.00 60.00
Fractional coordinates of all 3 atoms:
Y 0.500 0.500 0.500
Sr 0.000 0.000 0.000
Ag 0.750 0.750 0.750

Entry 2:
An optimized crystal structure of Sr3YAg4. Source: Alexandria via LeMat-Bulk, functional GGA-PBE.

Results
Formation energy: -0.27 eV per atom
Crystal system: tetragonal
Total DFT energy (no corrections): -25.1 eV for the cell shown
Density of states at the Fermi level: 0.888 states/eV per atom

abc: 3.832 3.832 15.627
angles: 90.00 90.00 90.00
Fractional coordinates of all 8 atoms:
Y 0.500 0.500 0.000
Ag 0.000 0.000 0.101
Ag 0.000 0.000 0.372
Ag 0.000 0.000 0.899
Ag 0.000 0.000 0.628
Sr 0.500 0.500 0.500
Sr 0.500 0.500 0.241
Sr 0.500 0.500 0.759

Entry 3:
An optimized crystal structure of SrY2Ag2. Source: Alexandria via LeMat-Bulk, functional GGA-PBE.

Results
Formation energy: -0.11 eV per atom
Crystal system: tetragonal
Total DFT energy (no corrections): -20.9 eV for the cell shown
Density of states at the Fermi level: 1.101 states/eV per atom

abc: 4.765 4.765 7.550
angles: 71.61 71.61 90.00
Fractional coordinates of all 5 atoms:
Sr 0.000 0.000 0.000
Ag 0.604 0.604 0.791
Ag 0.396 0.396 0.209
Y 0.750 0.250 0.500
Y 0.250 0.750 0.500

Entry 4:
An optimized crystal structure of SrY2Ag. Source: Alexandria via LeMat-Bulk, functional GGA-PBE.

Results
Formation energy: 0.10 eV per atom
Crystal system: trigonal
Total DFT energy (no corrections): -17.1 eV for the cell shown
Density of states at the Fermi level: 1.477 states/eV per atom

abc: 10.967 10.967 10.967
angles: 20.15 20.15 20.15
Fractional coordinates of all 4 atoms:
Y 0.519 0.519 0.519
Y 0.981 0.981 0.981
Ag 0.250 0.250 0.250
Sr 0.750 0.750 0.750

Entry 5:
An optimized crystal structure of SrY2Ag2. Source: Alexandria via LeMat-Bulk, functional GGA-PBE.

Results
Formation energy: -0.12 eV per atom
Crystal system: tetragonal
Total DFT energy (no corrections): -41.8 eV for the cell shown
Density of states at the Fermi level: 0.834 states/eV per atom

abc: 8.873 8.873 3.494
angles: 90.00 90.00 90.00
Fractional coordinates of all 10 atoms:
Sr 0.000 0.000 0.000
Sr 0.500 0.500 0.000
Ag 0.840 0.340 0.500
Ag 0.660 0.840 0.500
Ag 0.160 0.660 0.500
Ag 0.340 0.160 0.500
Y 0.866 0.634 0.000
Y 0.134 0.366 0.000
Y 0.634 0.134 0.000
Y 0.366 0.866 0.000

Entry 6:
An optimized crystal structure of SrY2Ag. Source: Alexandria via LeMat-Bulk, functional GGA-PBE.

Results
Formation energy: 0.22 eV per atom
Crystal system: cubic
Total DFT energy (no corrections): -16.6 eV for the cell shown
Density of states at the Fermi level: 1.490 states/eV per atom

abc: 5.612 5.612 5.612
angles: 60.00 60.00 60.00
Fractional coordinates of all 4 atoms:
Ag 0.500 0.500 0.500
Y 0.000 0.000 0.000
Y 0.250 0.250 0.250
Sr 0.750 0.750 0.750

Entry 7:
An optimized crystal structure of SrY2Ag. Source: Alexandria via LeMat-Bulk, functional GGA-PBE.

Results
Formation energy: 0.17 eV per atom
Crystal system: tetragonal
Total DFT energy (no corrections): -16.8 eV for the cell shown
Density of states at the Fermi level: 1.682 states/eV per atom

abc: 6.625 6.625 6.625
angles: 138.57 138.57 60.03
Fractional coordinates of all 4 atoms:
Ag 0.250 0.750 0.500
Y 0.000 0.000 0.000
Y 0.500 0.500 0.000
Sr 0.750 0.250 0.500

Entry 8:
An optimized crystal structure of SrY2Ag. Source: Alexandria via LeMat-Bulk, functional GGA-PBE.

Results
Formation energy: -0.05 eV per atom
Crystal system: orthorhombic
Total DFT energy (no corrections): -17.7 eV for the cell shown
Density of states at the Fermi level: 1.433 states/eV per atom

abc: 6.976 6.976 5.731
angles: 65.72 65.72 30.63
Fractional coordinates of all 4 atoms:
Sr 0.750 0.750 0.750
Ag 0.250 0.250 0.250
Y 0.545 0.545 0.455
Y 0.955 0.955 0.045

Entry 9:
An optimized crystal structure of SrY2Ag. Source: Alexandria via LeMat-Bulk, functional GGA-PBE.

Results
Formation energy: 0.04 eV per atom
Crystal system: monoclinic
Total DFT energy (no corrections): -17.3 eV for the cell shown
Density of states at the Fermi level: 1.450 states/eV per atom

abc: 6.783 6.783 5.596
angles: 65.65 65.65 33.15
Fractional coordinates of all 4 atoms:
Ag 0.511 0.511 0.488
Sr 0.789 0.789 0.711
Y 0.203 0.203 0.298
Y 0.997 0.997 0.003

Entry 10:
An optimized crystal structure of SrY2Ag2. Source: Alexandria via LeMat-Bulk, functional GGA-PBE.

Results
Formation energy: -0.15 eV per atom
Crystal system: tetragonal
Total DFT energy (no corrections): -42.1 eV for the cell shown
Density of states at the Fermi level: 1.236 states/eV per atom

abc: 8.607 8.607 3.875
angles: 90.00 90.00 90.00
Fractional coordinates of all 10 atoms:
Y 0.154 0.654 0.500
Y 0.654 0.846 0.500
Y 0.346 0.154 0.500
Y 0.846 0.346 0.500
Ag 0.629 0.129 0.000
Ag 0.871 0.629 0.000
Ag 0.129 0.371 0.000
Ag 0.371 0.871 0.000
Sr 0.000 0.000 0.000
Sr 0.500 0.500 0.000

Entry 11:
An optimized crystal structure of SrY2Ag. Source: Alexandria via LeMat-Bulk, functional GGA-PBE.

Results
Formation energy: 0.18 eV per atom
Crystal system: monoclinic
Total DFT energy (no corrections): -16.8 eV for the cell shown
Density of states at the Fermi level: 1.393 states/eV per atom

abc: 6.873 6.873 3.568
angles: 76.96 76.96 122.13
Fractional coordinates of all 4 atoms:
Y 0.000 0.000 0.000
Y 0.500 0.500 0.000
Sr 0.000 0.500 0.500
Ag 0.500 0.000 0.500

Entry 12:
An optimized crystal structure of SrY2Ag. Source: Alexandria via LeMat-Bulk, functional GGA-PBE.

Results
Formation energy: 0.19 eV per atom
Crystal system: tetragonal
Total DFT energy (no corrections): -16.7 eV for the cell shown
Density of states at the Fermi level: 1.541 states/eV per atom

abc: 6.308 6.308 6.308
angles: 135.05 135.05 65.46
Fractional coordinates of all 4 atoms:
Y 0.250 0.750 0.500
Y 0.000 0.000 0.000
Sr 0.750 0.250 0.500
Ag 0.500 0.500 0.000

Entry 13:
An optimized crystal structure of SrY2Ag2. Source: Alexandria via LeMat-Bulk, functional GGA-PBE.

Results
Formation energy: 0.06 eV per atom
Crystal system: tetragonal
Total DFT energy (no corrections): -20.0 eV for the cell shown
Density of states at the Fermi level: 1.180 states/eV per atom

abc: 5.420 5.420 6.789
angles: 66.47 66.47 90.00
Site moments in Bohr magnetons follow the coordinates.
Fractional coordinates of all 5 atoms:
Ag 0.250 0.750 0.500  0.03
Ag 0.750 0.250 0.500  0.03
Y 0.654 0.654 0.693  0.29
Y 0.346 0.346 0.307  0.29
Sr 0.000 0.000 0.000  0.03

Entry 14:
An optimized crystal structure of SrY2Ag. Source: Alexandria via LeMat-Bulk, functional GGA-PBE.

Results
Formation energy: 0.17 eV per atom
Crystal system: tetragonal
Total DFT energy (no corrections): -16.8 eV for the cell shown
Density of states at the Fermi level: 1.037 states/eV per atom

abc: 5.188 5.188 4.544
angles: 90.00 90.00 89.95
Fractional coordinates of all 4 atoms:
Sr 0.000 0.500 0.500
Y 0.000 0.000 0.000
Y 0.500 0.500 0.000
Ag 0.500 0.000 0.500

Entry 15:
An optimized crystal structure of SrY2Ag. Source: Alexandria via LeMat-Bulk, functional GGA-PBE.

Results
Formation energy: 0.21 eV per atom
Crystal system: cubic
Total DFT energy (no corrections): -16.6 eV for the cell shown
Density of states at the Fermi level: 1.781 states/eV per atom

abc: 5.541 5.541 5.541
angles: 60.00 60.00 60.00
Fractional coordinates of all 4 atoms:
Y 0.250 0.250 0.250
Y 0.750 0.750 0.750
Sr 0.000 0.000 0.000
Ag 0.500 0.500 0.500

Entry 16:
An optimized crystal structure of SrY4Ag. Source: Alexandria via LeMat-Bulk, functional GGA-PBE.

Results
Formation energy: 0.39 eV per atom
Crystal system: cubic
Total DFT energy (no corrections): -28.0 eV for the cell shown
Density of states at the Fermi level: 1.601 states/eV per atom

abc: 6.631 6.631 6.631
angles: 60.00 60.00 60.00
Fractional coordinates of all 6 atoms:
Y 0.376 0.873 0.376
Y 0.376 0.376 0.376
Y 0.873 0.376 0.376
Y 0.376 0.376 0.873
Sr 0.000 0.000 0.000
Ag 0.750 0.750 0.750

Entry 17:
An optimized crystal structure of SrY2Ag. Source: Alexandria via LeMat-Bulk, functional GGA-PBE.

Results
Formation energy: -0.03 eV per atom
Crystal system: tetragonal
Total DFT energy (no corrections): -17.6 eV for the cell shown
Density of states at the Fermi level: 1.269 states/eV per atom

abc: 3.689 3.689 9.708
angles: 90.00 90.00 89.99
Fractional coordinates of all 4 atoms:
Sr 0.500 0.500 0.750
Y 0.000 0.000 0.069
Y 0.000 0.000 0.431
Ag 0.500 0.500 0.250

Entry 18:
An optimized crystal structure of SrY2Ag. Source: Alexandria via LeMat-Bulk, functional GGA-PBE.

Results
Formation energy: -0.08 eV per atom
Crystal system: tetragonal
Total DFT energy (no corrections): -17.8 eV for the cell shown
Density of states at the Fermi level: 1.425 states/eV per atom

abc: 3.715 3.715 9.357
angles: 90.00 90.00 90.00
Site moments in Bohr magnetons follow the coordinates.
Fractional coordinates of all 4 atoms:
Sr 0.500 0.500 0.705  0.00
Y 0.000 0.000 0.035  0.19
Y 0.500 0.500 0.291  0.14
Ag 0.000 0.000 0.468  0.00

Entry 19:
An optimized crystal structure of SrY2Ag. Source: Alexandria via LeMat-Bulk, functional GGA-PBE.

Results
Formation energy: 0.11 eV per atom
Crystal system: orthorhombic
Total DFT energy (no corrections): -17.0 eV for the cell shown
Density of states at the Fermi level: 0.969 states/eV per atom

abc: 3.960 5.496 5.713
angles: 90.00 90.00 90.00
Fractional coordinates of all 4 atoms:
Ag 0.500 0.000 0.500
Y 0.500 0.500 0.000
Y 0.000 0.000 0.000
Sr 0.000 0.500 0.500

Entry 20:
An optimized crystal structure of SrYAg. Source: Alexandria via LeMat-Bulk, functional GGA-PBE.

Results
Formation energy: 0.05 eV per atom
Crystal system: trigonal
Total DFT energy (no corrections): -10.8 eV for the cell shown
Density of states at the Fermi level: 0.790 states/eV per atom

abc: 5.132 5.132 4.420
angles: 90.00 90.00 120.00
Fractional coordinates of all 3 atoms:
Y 0.333 0.667 0.832
Sr 0.667 0.333 0.333
Ag 0.000 0.000 0.835